## one
Crystalline CoReMo2 at its relaxed geometry. Source: the Alexandria database, functional GGA-PBE.

The structure in CIF format:
```
data_CoReMo2
_chemical_formula_sum 'Co1 Re1 Mo2'
_symmetry_space_group_name_H-M 'P 1'
_symmetry_Int_Tables_number 1
_symmetry_space_group_name_Hall 'P 1'
_cell_length_a 3.1710
_cell_length_b 3.1710
_cell_length_c 5.7497
_cell_angle_alpha 90.00
_cell_angle_beta 90.00
_cell_angle_gamma 90.00
loop_
_atom_site_label
_atom_site_type_symbol
_atom_site_fract_x
_atom_site_fract_y
_atom_site_fract_z
_atom_site_occupancy
Mo1 Mo 0.0000 0.0000 0.9692 1
Co1 Co 0.5000 0.5000 0.7652 1
Mo2 Mo 0.5000 0.5000 0.2572 1
Re1 Re 0.0000 0.0000 0.5084 1
```

## two
Crystalline CoReMo2 at its relaxed geometry. Source: the Alexandria database, functional GGA-PBE.

The structure in CIF format:
```
data_CoReMo2
_chemical_formula_sum 'Co1 Re1 Mo2'
_symmetry_space_group_name_H-M 'P 1'
_symmetry_Int_Tables_number 1
_symmetry_space_group_name_Hall 'P 1'
_cell_length_a 9.2148
_cell_length_b 9.2148
_cell_length_c 9.2148
_cell_angle_alpha 17.00
_cell_angle_beta 17.00
_cell_angle_gamma 17.00
loop_
_atom_site_label
_atom_site_type_symbol
_atom_site_fract_x
_atom_site_fract_y
_atom_site_fract_z
_atom_site_occupancy
Co1 Co 0.7514 0.7514 0.7514 1
Mo1 Mo 0.0066 0.0066 0.0066 1
Mo2 Mo 0.2482 0.2482 0.2482 1
Re1 Re 0.4939 0.4939 0.4939 1
```

## three
Crystalline CoReMo2 at its relaxed geometry. Source: the Alexandria database, functional GGA-PBE.

The structure in CIF format:
```
data_CoReMo2
_chemical_formula_sum 'Co2 Re2 Mo4'
_symmetry_space_group_name_H-M 'P 1'
_symmetry_Int_Tables_number 1
_symmetry_space_group_name_Hall 'P 1'
_cell_length_a 6.8869
_cell_length_b 6.8869
_cell_length_c 5.5148
_cell_angle_alpha 51.36
_cell_angle_beta 51.36
_cell_angle_gamma 90.00
loop_
_atom_site_label
_atom_site_type_symbol
_atom_site_fract_x
_atom_site_fract_y
_atom_site_fract_z
_atom_site_occupancy
Mo1 Mo 0.8750 0.8562 0.7500 1
Re1 Re 0.7500 0.2500 0.5000 1
Co1 Co 0.2500 0.7500 0.5000 1
Mo2 Mo 0.3750 0.3938 0.7500 1
Mo3 Mo 0.6062 0.1250 0.2500 1
Re2 Re 0.0000 0.0000 0.0000 1
Mo4 Mo 0.1438 0.6250 0.2500 1
Co2 Co 0.5000 0.5000 0.0000 1
```

Relative energies in meV/atom: one 0; two 110; three 590

## one
Crystalline CoReMo2 at its relaxed geometry. Source: the Alexandria database, functional GGA-PBE.

The structure in CIF format:
```
data_CoReMo2
_chemical_formula_sum 'Co1 Re1 Mo2'
_symmetry_space_group_name_H-M 'P 1'
_symmetry_Int_Tables_number 1
_symmetry_space_group_name_Hall 'P 1'
_cell_length_a 4.6860
_cell_length_b 4.6860
_cell_length_c 4.6860
_cell_angle_alpha 130.88
_cell_angle_beta 130.85
_cell_angle_gamma 72.03
loop_
_atom_site_label
_atom_site_type_symbol
_atom_site_fract_x
_atom_site_fract_y
_atom_site_fract_z
_atom_site_occupancy
Re1 Re 0.2500 0.7500 0.5000 1
Mo1 Mo 0.5000 0.5000 0.0000 1
Co1 Co 0.7500 0.2500 0.5000 1
Mo2 Mo 0.0000 0.0000 0.0000 1
```

## two
Crystalline CoReMo2 at its relaxed geometry. Source: the Alexandria database, functional GGA-PBE.

The structure in CIF format:
```
data_CoReMo2
_chemical_formula_sum 'Co1 Re1 Mo2'
_symmetry_space_group_name_H-M 'P 1'
_symmetry_Int_Tables_number 1
_symmetry_space_group_name_Hall 'P 1'
_cell_length_a 4.7590
_cell_length_b 4.7590
_cell_length_c 4.7590
_cell_angle_alpha 132.49
_cell_angle_beta 132.49
_cell_angle_gamma 69.46
loop_
_atom_site_label
_atom_site_type_symbol
_atom_site_fract_x
_atom_site_fract_y
_atom_site_fract_z
_atom_site_occupancy
Re1 Re 0.5000 0.5000 0.0000 1
Mo1 Mo 0.0000 0.0000 0.0000 1
Co1 Co 0.7500 0.2500 0.5000 1
Mo2 Mo 0.2500 0.7500 0.5000 1
```

Relative energies in meV/atom: one 0; two 29

## one
Crystalline CoMo2Rh at its relaxed geometry. Source: the Alexandria database, functional GGA-PBE.

The structure in CIF format:
```
data_CoMo2Rh
_chemical_formula_sum 'Co1 Mo2 Rh1'
_symmetry_space_group_name_H-M 'P 1'
_symmetry_Int_Tables_number 1
_symmetry_space_group_name_Hall 'P 1'
_cell_length_a 3.8281
_cell_length_b 2.7050
_cell_length_c 6.0379
_cell_angle_alpha 63.47
_cell_angle_beta 90.00
_cell_angle_gamma 90.00
loop_
_atom_site_label
_atom_site_type_symbol
_atom_site_fract_x
_atom_site_fract_y
_atom_site_fract_z
_atom_site_occupancy
Mo1 Mo 0.0000 0.4897 0.5104 1
Rh1 Rh 0.5000 0.2500 0.2500 1
Co1 Co 0.5000 0.7500 0.7500 1
Mo2 Mo 0.0000 0.0103 0.9896 1
```

## two
Crystalline CoMo2Rh at its relaxed geometry. Source: the Alexandria database, functional GGA-PBE.

The structure in CIF format:
```
data_CoMo2Rh
_chemical_formula_sum 'Co1 Mo2 Rh1'
_symmetry_space_group_name_H-M 'P 1'
_symmetry_Int_Tables_number 1
_symmetry_space_group_name_Hall 'P 1'
_cell_length_a 8.9500
_cell_length_b 8.9500
_cell_length_c 8.9500
_cell_angle_alpha 17.51
_cell_angle_beta 17.51
_cell_angle_gamma 17.51
loop_
_atom_site_label
_atom_site_type_symbol
_atom_site_fract_x
_atom_site_fract_y
_atom_site_fract_z
_atom_site_occupancy
Co1 Co 0.7500 0.7500 0.7500 1
Rh1 Rh 0.2500 0.2500 0.2500 1
Mo1 Mo 0.0028 0.0028 0.0028 1
Mo2 Mo 0.4972 0.4972 0.4972 1
```

## three
Crystalline CoMo2Rh at its relaxed geometry. Source: the Alexandria database, functional GGA-PBE.

The structure in CIF format:
```
data_CoMo2Rh
_chemical_formula_sum 'Co1 Mo2 Rh1'
_symmetry_space_group_name_H-M 'P 1'
_symmetry_Int_Tables_number 1
_symmetry_space_group_name_Hall 'P 1'
_cell_length_a 9.0396
_cell_length_b 9.0396
_cell_length_c 9.0396
_cell_angle_alpha 17.37
_cell_angle_beta 17.37
_cell_angle_gamma 17.37
loop_
_atom_site_label
_atom_site_type_symbol
_atom_site_fract_x
_atom_site_fract_y
_atom_site_fract_z
_atom_site_occupancy
Mo1 Mo 0.2456 0.2456 0.2456 1
Mo2 Mo 0.0065 0.0065 0.0065 1
Co1 Co 0.7501 0.7501 0.7501 1
Rh1 Rh 0.4978 0.4978 0.4978 1
```

Relative energies in meV/atom: one 0; two 176; three 210

## one
Crystalline CoMo2Rh at its relaxed geometry. Source: the Alexandria database, functional GGA-PBE.

The structure in CIF format:
```
data_CoMo2Rh
_chemical_formula_sum 'Co1 Mo2 Rh1'
_symmetry_space_group_name_H-M 'P 1'
_symmetry_Int_Tables_number 1
_symmetry_space_group_name_Hall 'P 1'
_cell_length_a 4.6698
_cell_length_b 4.6698
_cell_length_c 4.6688
_cell_angle_alpha 131.21
_cell_angle_beta 131.22
_cell_angle_gamma 71.42
loop_
_atom_site_label
_atom_site_type_symbol
_atom_site_fract_x
_atom_site_fract_y
_atom_site_fract_z
_atom_site_occupancy
Mo1 Mo 0.0004 0.9996 0.0000 1
Mo2 Mo 0.7496 0.2504 0.5000 1
Co1 Co 0.2496 0.7504 0.5000 1
Rh1 Rh 0.5003 0.4997 0.0000 1
```

## two
Crystalline CoMo2Rh at its relaxed geometry. Source: the Alexandria database, functional GGA-PBE.

The structure in CIF format:
```
data_CoMo2Rh
_chemical_formula_sum 'Co1 Mo2 Rh1'
_symmetry_space_group_name_H-M 'P 1'
_symmetry_Int_Tables_number 1
_symmetry_space_group_name_Hall 'P 1'
_cell_length_a 4.6430
_cell_length_b 4.6430
_cell_length_c 4.7601
_cell_angle_alpha 80.35
_cell_angle_beta 80.35
_cell_angle_gamma 34.05
loop_
_atom_site_label
_atom_site_type_symbol
_atom_site_fract_x
_atom_site_fract_y
_atom_site_fract_z
_atom_site_occupancy
Rh1 Rh 0.5058 0.5058 0.5078 1
Mo1 Mo 0.9909 0.9909 0.0358 1
Co1 Co 0.2501 0.2501 0.2268 1
Mo2 Mo 0.7532 0.7532 0.7296 1
```

## three
Crystalline CoMo2Rh at its relaxed geometry. Source: the Alexandria database, functional GGA-PBE.

The structure in CIF format:
```
data_CoMo2Rh
_chemical_formula_sum 'Co1 Mo2 Rh1'
_symmetry_space_group_name_H-M 'P 1'
_symmetry_Int_Tables_number 1
_symmetry_space_group_name_Hall 'P 1'
_cell_length_a 4.3154
_cell_length_b 4.3154
_cell_length_c 4.3154
_cell_angle_alpha 60.00
_cell_angle_beta 60.00
_cell_angle_gamma 60.00
loop_
_atom_site_label
_atom_site_type_symbol
_atom_site_fract_x
_atom_site_fract_y
_atom_site_fract_z
_atom_site_occupancy
Rh1 Rh 0.7500 0.7500 0.7500 1
Co1 Co 0.5000 0.5000 0.5000 1
Mo1 Mo 0.2500 0.2500 0.2500 1
Mo2 Mo 0.0000 0.0000 0.0000 1
```

Relative energies in meV/atom: one 40; two 0; three 139

## one
Crystalline CoMo2Rh at its relaxed geometry. Source: the Alexandria database, functional GGA-PBE.

The structure in CIF format:
```
data_CoMo2Rh
_chemical_formula_sum 'Co1 Mo2 Rh1'
_symmetry_space_group_name_H-M 'P 1'
_symmetry_Int_Tables_number 1
_symmetry_space_group_name_Hall 'P 1'
_cell_length_a 2.7681
_cell_length_b 3.6259
_cell_length_c 5.6568
_cell_angle_alpha 90.00
_cell_angle_beta 90.00
_cell_angle_gamma 90.00
loop_
_atom_site_label
_atom_site_type_symbol
_atom_site_fract_x
_atom_site_fract_y
_atom_site_fract_z
_atom_site_occupancy
Co1 Co 0.5000 0.5000 0.7659 1
Rh1 Rh 0.0000 0.0000 0.5064 1
Mo1 Mo 0.0000 0.0000 0.9664 1
Mo2 Mo 0.5000 0.5000 0.2613 1
```

## two
Crystalline CoMo2Rh at its relaxed geometry. Source: the Alexandria database, functional GGA-PBE.

The structure in CIF format:
```
data_CoMo2Rh
_chemical_formula_sum 'Co1 Mo2 Rh1'
_symmetry_space_group_name_H-M 'P 1'
_symmetry_Int_Tables_number 1
_symmetry_space_group_name_Hall 'P 1'
_cell_length_a 4.3445
_cell_length_b 2.7154
_cell_length_c 4.7536
_cell_angle_alpha 89.99
_cell_angle_beta 90.00
_cell_angle_gamma 90.00
loop_
_atom_site_label
_atom_site_type_symbol
_atom_site_fract_x
_atom_site_fract_y
_atom_site_fract_z
_atom_site_occupancy
Mo1 Mo 0.0000 0.1246 0.9454 1
Mo2 Mo 0.5000 0.1253 0.2920 1
Rh1 Rh 0.0000 0.6248 0.4589 1
Co1 Co 0.5000 0.6253 0.8037 1
```

## three
Crystalline CoMo2Rh at its relaxed geometry. Source: the Alexandria database, functional GGA-PBE.

The structure in CIF format:
```
data_CoMo2Rh
_chemical_formula_sum 'Co1 Mo2 Rh1'
_symmetry_space_group_name_H-M 'P 1'
_symmetry_Int_Tables_number 1
_symmetry_space_group_name_Hall 'P 1'
_cell_length_a 3.8145
_cell_length_b 3.8150
_cell_length_c 3.8406
_cell_angle_alpha 90.00
_cell_angle_beta 90.00
_cell_angle_gamma 90.00
loop_
_atom_site_label
_atom_site_type_symbol
_atom_site_fract_x
_atom_site_fract_y
_atom_site_fract_z
_atom_site_occupancy
Rh1 Rh 0.5000 0.0000 0.5000 1
Mo1 Mo 0.0000 0.0000 0.0000 1
Mo2 Mo 0.5000 0.5000 0.0000 1
Co1 Co 0.0000 0.5000 0.5000 1
```

## four
Crystalline CoMo2Rh at its relaxed geometry. Source: the Alexandria database, functional GGA-PBE.

The structure in CIF format:
```
data_CoMo2Rh
_chemical_formula_sum 'Co1 Mo2 Rh1'
_symmetry_space_group_name_H-M 'P 1'
_symmetry_Int_Tables_number 1
_symmetry_space_group_name_Hall 'P 1'
_cell_length_a 4.3422
_cell_length_b 4.3422
_cell_length_c 4.3422
_cell_angle_alpha 60.00
_cell_angle_beta 60.00
_cell_angle_gamma 60.00
loop_
_atom_site_label
_atom_site_type_symbol
_atom_site_fract_x
_atom_site_fract_y
_atom_site_fract_z
_atom_site_occupancy
Co1 Co 0.0000 0.0000 0.0000 1
Mo1 Mo 0.2500 0.2500 0.2500 1
Mo2 Mo 0.7500 0.7500 0.7500 1
Rh1 Rh 0.5000 0.5000 0.5000 1
```

Relative energies in meV/atom: one 103; two 13; three 0; four 400